No. 1
The following is a PBE-GGA calculation of a relaxed Rb2MnCu2Br6 crystal, from the Alexandria database.

Computed properties:
Energy   -3.591 eV per atom
Formation energy from raw total energies   -0.92 eV/atom
Volume   341.1 Å³ per cell
Magnetic moment   5.0 μB per formula unit

Cell lengths 7.6473, 7.7141, 7.7950 Å; angles 116.86, 90.00, 119.71 degrees
Last column: nearest neighbours and their distance in Å.
Atoms (fractional coordinates):
Rb 0.7328 0.4657 0.2150  7 Br 3.50-3.90, 1 Cu 3.86
Rb 0.2672 0.5343 0.7850  7 Br 3.50-3.90, 1 Cu 3.86
Mn 0.5000 0.0000 0.5000  6 Br 2.69-2.75
Cu 0.9427 0.8854 0.7899  3 Br 2.39
Cu 0.0573 0.1146 0.2101  3 Br 2.39
Br 0.7381 0.4761 0.6692  1 Cu 2.39
Br 0.2237 0.9257 0.2203  1 Cu 2.39
Br 0.2980 0.0743 0.7797  1 Cu 2.39
Br 0.7763 0.0743 0.7797  1 Cu 2.39
Br 0.7020 0.9257 0.2203  1 Cu 2.39
Br 0.2619 0.5239 0.3308  1 Cu 2.39


No. 2
The following is a PBE-GGA calculation of a relaxed BaTe2AuSe4 crystal, from the Alexandria database.

Computed properties:
Energy   -3.658 eV per atom
Formation energy from raw total energies   -0.48 eV/atom
Volume   238.1 Å³ per cell
Magnetic moment   0.0 μB per formula unit

Cell lengths 7.5869, 6.7742, 6.7742 Å; angles 75.32, 55.95, 55.95 degrees
Last column: nearest neighbours and their distance in Å.
Atoms (fractional coordinates):
Ba 0.0000 0.0000 0.0000  8 Se 3.41-3.57
Te 0.5000 0.7494 0.2506  4 Se 2.81
Te 0.5000 0.2506 0.7494  4 Se 2.81
Au 0.0000 0.5000 0.5000  4 Se 2.62
Se 0.5829 0.5446 0.8730  1 Au 2.62, 2 Te 2.81
Se 0.4171 0.1270 0.4554  1 Au 2.62, 2 Te 2.81
Se 0.0005 0.4554 0.1270  1 Au 2.62, 2 Te 2.81
Se 0.9995 0.8730 0.5446  1 Au 2.62, 2 Te 2.81


No. 3
The following is a PBE-GGA calculation of a relaxed RbZnC3 crystal, from the Alexandria database.

Computed properties:
Energy   -3.179 eV per atom
Volume   77.8 Å³ per cell
Magnetic moment   0.0 μB per formula unit

Cell lengths 4.2697, 4.2697, 4.2697 Å; angles 90.00, 90.00, 90.00 degrees
Last column: nearest neighbours and their distance in Å.
Atoms (fractional coordinates):
Zn 0.0000 0.0000 0.0000  6 C 2.13
C 0.0000 0.5000 0.0000  2 Zn 2.13
C 0.0000 0.0000 0.5000  2 Zn 2.13
C 0.5000 0.0000 0.0000  2 Zn 2.13
Rb 0.5000 0.5000 0.5000  12 C 3.02


What did the third record say?
The following is a PBE-GGA calculation of a relaxed RbZnC3 crystal, from the Alexandria database.

Computed properties:
Energy   -3.179 eV per atom
Volume   77.8 Å³ per cell
Magnetic moment   0.0 μB per formula unit

Cell lengths 4.2697, 4.2697, 4.2697 Å; angles 90.00, 90.00, 90.00 degrees
Last column: nearest neighbours and their distance in Å.
Atoms (fractional coordinates):
Zn 0.0000 0.0000 0.0000  6 C 2.13
C 0.0000 0.5000 0.0000  2 Zn 2.13
C 0.0000 0.0000 0.5000  2 Zn 2.13
C 0.5000 0.0000 0.0000  2 Zn 2.13
Rb 0.5000 0.5000 0.5000  12 C 3.02